A plane-wave DFT calculation with PBE was carried out for AlFeBr2 after structural relaxation.

Computed properties:
* E: -3.876 eV/atom
* spin magnetization: 0.70 μB/atom
* excess energy over the best structure of this formula in the dataset: 0.287 eV/atom

Cell: 3.2466 7.9057 9.4439 Å, 90.00 90.00 90.00°
Closest atoms and distances in Å follow each position.
Space group Imm2 (No. 44)
Symmetry-distinct sites (fractional):
Al  0.0000  0.0000  0.0000 (multiplicity 2)  2 Fe 2.52, 2 Br 2.54
Fe  0.0000  0.5000  0.2953 (multiplicity 2)  2 Br 2.44, 2 Al 2.52
Br  0.0000  0.0000  0.6022 (multiplicity 2)  2 Fe 2.44
Br  0.0000  0.5000  0.7068 (multiplicity 2)  2 Al 2.54


A plane-wave DFT calculation with PBE was carried out for La2Tb3PmY6 after structural relaxation.

Computed properties:
* E: -5.589 eV/atom
* E_form: 0.018 eV/atom
* spin magnetization: 0.00 μB/atom

Cell: 6.2547 10.8318 11.8904 Å, 90.00 100.07 90.00°
Closest atoms and distances in Å follow each position.
Space group C2/m (No. 12)
Symmetry-distinct sites (fractional):
La  0.0000  0.1665  0.0000 (multiplicity 4)  3 La 3.61, 3 Pm 3.61, 6 Y 3.63-3.64
Tb  0.0000  0.0000  0.5000 (multiplicity 2)  6 Y 3.55-3.56, 6 Tb 3.61
Tb  0.0000  0.3334  0.5000 (multiplicity 4)  6 Y 3.55-3.56, 6 Tb 3.61
Pm  0.0000  0.5000  0.0000 (multiplicity 2)  6 La 3.61, 6 Y 3.63
Y  0.2476  0.5000  0.7458 (multiplicity 4)  3 Tb 3.55-3.56, 6 Y 3.60-3.61, 1 Pm 3.63, 2 La 3.63
Y  0.2486  0.1664  0.7459 (multiplicity 8)  3 Tb 3.55-3.56, 6 Y 3.60-3.61, 1 Pm 3.63, 2 La 3.63-3.64


A plane-wave DFT calculation with PBE was carried out for TbSm2Fe after structural relaxation.

Computed properties:
* E: -5.483 eV/atom
* E_form: 0.150 eV/atom
* spin magnetization: 0.55 μB/atom
* excess energy over the best structure of this formula in the dataset: 0.000 eV/atom

Cell: 3.5325 3.5325 8.6893 Å, 90.00 90.00 90.00°
Closest atoms and distances in Å follow each position.
Space group P4/mmm (No. 123)
Symmetry-distinct sites (fractional):
Tb  0.0000  0.0000  0.0000 (multiplicity 1)  4 Tb 3.53, 8 Sm 3.66
Sm  0.5000  0.5000  0.3085 (multiplicity 2)  4 Fe 3.00, 1 Sm 3.33
Fe  0.0000  0.0000  0.5000 (multiplicity 1)  8 Sm 3.00


A plane-wave DFT calculation with PBE was carried out for KSmOsO6 after structural relaxation.

Computed properties:
* E: -6.949 eV/atom
* spin magnetization: 0.00 μB/atom

Cell: 5.7214 5.7214 5.7307 Å, 90.00 90.00 120.00°
Closest atoms and distances in Å follow each position.
Space group P312 (No. 149)
Symmetry-distinct sites (fractional):
K  0.0000  0.0000  0.0000 (multiplicity 1)  6 O 2.83
Sm  0.3333  0.6667  0.5000 (multiplicity 1)  6 O 2.31
Os  0.6667  0.3333  0.5000 (multiplicity 1)  6 O 1.88
O  0.4082  0.0558  0.6888 (multiplicity 6)  1 Os 1.88